<w>
10
Lattice="5.902 0.000 0.000 0.000 6.037 -1.861 0.000 -0.321 9.699" Properties=species:S:1:pos:R:3 comment="Nd3HoTh | Alexandria via LeMat-Bulk | PBE | relaxed" vol_a3_per_atom=34.20 dos_ef_per_ev_atom=1.693 pbc="T T T"
Nd 4.426 5.612 0.292
Nd 1.475 2.516 4.946
Nd 4.426 3.199 2.892
Nd 4.426 1.636 9.017
Nd 1.475 4.079 -1.179
Nd 1.475 0.103 7.546
Ho 4.426 4.140 6.398
Ho 1.475 1.576 1.439
Th 1.475 5.157 2.254
Th 4.426 0.559 5.584


<x>
10
Lattice="6.848 0.000 0.000 3.424 5.931 0.000 3.424 1.977 8.371" Properties=species:S:1:pos:R:3 comment="Nd3HoTh | Alexandria via LeMat-Bulk | PBE | relaxed" vol_a3_per_atom=34.00 dos_ef_per_ev_atom=1.889 pbc="T T T"
Nd 5.063 2.922 2.875
Nd 8.635 2.924 2.875
Nd 8.634 4.986 5.495
Nd 6.849 1.891 5.495
Nd 6.847 6.016 2.875
Nd 5.061 4.984 5.495
Th 3.424 1.977 6.612
Th 10.272 5.931 1.759
Ho 6.848 3.954 8.289
Ho 6.848 3.954 0.082


Most stable pick: <w>. Distance to second place: 237 meV per atom.